VASP calculation (PBE) on an optimized crystal structure of TiSnOs2.

POSCAR file:
```
TiSnOs2
1.0
2.981 0.000 0.000
1.489 4.709 0.000
0.026 2.222 9.483
Ti Sn Os
2 2 4
Direct
0.000 0.000 0.000
0.026 0.958 0.556
0.265 0.485 0.424
0.477 0.044 0.251
0.267 0.472 0.909
0.514 0.979 0.768
0.724 0.553 0.133
0.773 0.462 0.683
```

calculated density	13.6	g/cm³
space-group type	P1
E_tot	-68.7	eV/cell
energy of formation from the pure elements	2	meV per atom


VASP calculation (PBE) on an optimized crystal structure of BaNaV.

POSCAR file:
```
BaNaV
1.0
2.800 -4.844 0.000
2.800 4.844 0.000
0.000 0.000 8.074
Ba Na V
2 2 2
Direct
0.000 0.000 0.000
0.000 0.000 0.500
0.334 0.666 0.750
0.666 0.334 0.250
0.333 0.667 0.250
0.667 0.333 0.750
```

calculated density	3.2	g/cm³
space-group type	Cmcm
polymorph energy (0 for the lowest one)	0.3765	eV per atom
E_tot	-19.5	eV/cell
energy of formation from the pure elements	862	meV per atom


VASP calculation (PBE) on an optimized crystal structure of La6Pr2Dy5.

POSCAR file:
```
La6Pr2Dy5
1.0
12.058 0.000 0.000
0.000 20.795 0.000
0.000 0.000 3.669
La Pr Dy
12 4 10
Direct
0.047 0.078 0.000
0.074 0.363 0.000
0.184 0.624 0.500
0.316 0.124 0.500
0.426 0.863 0.000
0.453 0.578 0.000
0.547 0.422 0.000
0.574 0.137 0.000
0.684 0.876 0.500
0.816 0.376 0.500
0.926 0.637 0.000
0.953 0.922 0.000
0.166 0.784 0.000
0.334 0.284 0.000
0.666 0.716 0.000
0.834 0.216 0.000
0.000 0.500 0.500
0.094 0.222 0.500
0.208 0.943 0.500
0.292 0.443 0.500
0.406 0.722 0.500
0.500 0.000 0.500
0.594 0.278 0.500
0.708 0.557 0.500
0.792 0.057 0.500
0.906 0.778 0.500
```

calculated density	7.0	g/cm³
space-group type	Pbam
E_tot	-121.5	eV/cell
energy of formation from the pure elements	108	meV per atom


VASP calculation (PBE) on an optimized crystal structure of KNaHAu2.

POSCAR file:
```
KNaHAu2
1.0
4.583 0.000 0.000
0.000 4.583 0.000
0.000 0.000 4.708
K Na H Au
1 1 1 2
Direct
0.000 0.000 0.000
0.500 0.500 0.000
0.500 0.500 0.500
0.000 0.500 0.500
0.500 0.000 0.500
```

calculated density	7.7	g/cm³
space-group type	P4/mmm
E_tot	-12.0	eV/cell